Computed, not measured: a geometry-optimized YTi3Mn structure at the PBE-GGA level of DFT.

a = 4.626 Å, b = 4.626 Å, c = 4.626 Å
α = 90.00°, β = 90.00°, γ = 90.00°
Sites, in units of the cell vectors:
Y 0.000 0.000 0.000
Ti 0.000 0.500 0.500
Ti 0.500 0.000 0.500
Ti 0.500 0.500 0.000
Mn 0.500 0.500 0.500

Computed properties:
The offset from the most stable computed form comes out at 0 meV per atom. The total energy comes out at -7.684 eV/atom.